SrP2CCl, optimized geometry, DFT PBE; raw formation energy = 9.703 eV per formula unit; energy relative to the lowest polymorph listed for this composition = 1876 meV per atom; density of states at the Fermi level = 9.2 states/eV per cell; E = -2.77 eV/atom; mass density = 1.567 g/cm3; space-group type = P4/mmm, No. 123
1.0
6.167 0.000 0.000
0.000 6.167 0.000
0.000 0.000 5.490
P Cl C Sr
2 1 1 1
Direct
0.000 0.500 0.000
0.500 0.000 0.000
0.000 0.000 0.500
0.500 0.500 0.500
0.000 0.000 0.000